[1]
First-principles (PBE) data for a relaxed La3Dy2Cd crystal, as listed in the Alexandria database.

abc: 3.743 3.743 14.247
angles: 90.00 90.00 90.00
Fractional coordinates of all 6 atoms:
La1 0.000 0.000 0.350
La2 0.000 0.000 0.000
La3 0.000 0.000 0.650
Cd1 0.500 0.500 0.500
Dy1 0.500 0.500 0.827
Dy2 0.500 0.500 0.173

Results
- VASP energy (eV/atom) = -4.2297
- formation energy from the elements (eV/atom) = -0.079


[2]
First-principles (PBE) data for a relaxed LaDyCd2 crystal, as listed in the Alexandria database.

abc: 5.438 5.438 5.438
angles: 60.00 60.00 60.00
Site moments in Bohr magnetons follow the coordinates.
Fractional coordinates of all 4 atoms:
Cd1 0.250 0.250 0.250  0.01
Cd2 0.750 0.750 0.750  0.01
Dy1 0.000 0.000 0.000  0.21
La1 0.500 0.500 0.500  0.14

Results
- VASP energy (eV/atom) = -3.1512
- energy relative to the lowest polymorph listed for this composition (eV/atom) = 0.008
- formation energy from the elements (eV/atom) = -0.311


[3]
First-principles (PBE) data for a relaxed LaDy2Cd crystal, as listed in the Alexandria database.

abc: 3.630 3.630 11.168
angles: 80.65 80.65 60.00
Fractional coordinates of all 4 atoms:
La1 0.500 0.500 0.500
Dy1 0.259 0.259 0.224
Dy2 0.075 0.075 0.776
Cd1 0.667 0.667 0.000

Results
- VASP energy (eV/atom) = -3.8054
- energy relative to the lowest polymorph listed for this composition (eV/atom) = 0.104
- formation energy from the elements (eV/atom) = -0.044


[4]
First-principles (PBE) data for a relaxed LaDy5Cd2 crystal, as listed in the Alexandria database.

abc: 3.613 8.442 8.442
angles: 76.80 77.64 77.64
Fractional coordinates of all 8 atoms:
Cd1 0.258 0.242 0.242
Cd2 0.742 0.758 0.758
Dy1 0.364 0.411 0.860
Dy2 0.636 0.589 0.140
Dy3 0.636 0.140 0.589
Dy4 0.000 0.500 0.500
Dy5 0.364 0.860 0.411
La1 0.000 0.000 0.000

Results
- VASP energy (eV/atom) = -3.8083
- formation energy from the elements (eV/atom) = -0.087


[5]
First-principles (PBE) data for a relaxed La2DyCd6 crystal, as listed in the Alexandria database.

abc: 3.474 8.837 8.837
angles: 60.00 89.98 89.98
Site moments in Bohr magnetons follow the coordinates.
Fractional coordinates of all 9 atoms:
Cd1 0.501 0.000 0.328  0.00
Cd2 0.499 0.672 0.000  0.00
Cd3 0.500 0.672 0.328  0.00
Cd4 0.500 0.328 0.672  0.00
Cd5 0.501 0.328 0.000  0.00
Cd6 0.499 0.000 0.672  0.00
La1 0.000 0.333 0.333  0.08
La2 0.000 0.667 0.667  0.08
Dy1 0.000 0.000 0.000  0.01

Results
- VASP energy (eV/atom) = -2.5644
- formation energy from the elements (eV/atom) = -0.348


[6]
First-principles (PBE) data for a relaxed LaDy3Cd4 crystal, as listed in the Alexandria database.

abc: 5.331 7.677 10.668
angles: 90.00 90.00 90.00
Site moments in Bohr magnetons follow the coordinates.
Fractional coordinates of all 16 atoms:
Dy1 0.499 0.500 0.250  0.13
Dy2 0.499 0.000 0.250  0.05
Dy3 0.000 0.000 0.000  0.07
Dy4 0.000 0.000 0.500  0.07
Dy5 0.501 0.500 0.750  0.13
Dy6 0.501 0.000 0.750  0.05
La1 0.000 0.500 0.500  0.10
La2 0.000 0.500 0.000  0.10
Cd1 0.500 0.763 0.000  0.01
Cd2 0.500 0.763 0.500  0.01
Cd3 0.002 0.237 0.750  0.01
Cd4 0.998 0.237 0.250  0.01
Cd5 0.002 0.763 0.750  0.01
Cd6 0.500 0.237 0.500  0.01
Cd7 0.998 0.763 0.250  0.01
Cd8 0.500 0.237 0.000  0.01

Results
- VASP energy (eV/atom) = -3.1091
- formation energy from the elements (eV/atom) = -0.310


[7]
First-principles (PBE) data for a relaxed LaDy2Cd crystal, as listed in the Alexandria database.

abc: 3.806 5.620 6.707
angles: 114.82 106.48 90.00
Fractional coordinates of all 4 atoms:
Dy1 0.223 0.223 0.446
Dy2 0.777 0.777 0.554
Cd1 0.500 0.000 0.000
La1 0.000 0.500 0.000

Results
- VASP energy (eV/atom) = -3.9094
- energy relative to the lowest polymorph listed for this composition (eV/atom) = 0.000
- formation energy from the elements (eV/atom) = -0.148


[8]
First-principles (PBE) data for a relaxed LaDy2Cd crystal, as listed in the Alexandria database.

abc: 4.945 4.917 4.917
angles: 90.00 90.00 90.00
Fractional coordinates of all 4 atoms:
La1 0.500 0.500 0.500
Dy1 0.000 0.500 0.000
Dy2 0.000 0.000 0.500
Cd1 0.500 0.000 0.000

Results
- VASP energy (eV/atom) = -3.8479
- energy relative to the lowest polymorph listed for this composition (eV/atom) = 0.061
- formation energy from the elements (eV/atom) = -0.086